Material: VGaSn2Pd
Method: DFT, PBE-GGA
State: optimized geometry

Geometry as extended XYZ:
```
5
Lattice="5.179 0.000 0.000 0.000 5.179 0.000 0.000 0.000 4.600" Properties=species:S:1:pos:R:3 pbc="T T T"
Ga 0.000 0.000 0.000
Sn 0.000 2.590 0.000
Sn 2.590 0.000 0.000
Pd 0.000 0.000 2.300
V 2.590 2.590 2.300
```

Computed properties:
formation enthalpy at 0 K = 4.58 eV per formula unit

Material: Y2Ga3SnPd4
Method: DFT, PBE-GGA
State: optimized geometry

Geometry as extended XYZ:
```
10
Lattice="4.120 0.000 0.000 0.000 4.120 0.000 0.000 0.000 11.399" Properties=species:S:1:pos:R:3 pbc="T T T"
Y 2.060 0.000 2.787
Y 0.000 2.060 8.612
Ga 0.000 0.000 5.699
Ga 2.060 0.000 9.905
Ga 0.000 2.060 1.493
Sn 2.060 2.060 5.699
Pd 2.060 2.060 0.000
Pd 0.000 0.000 0.000
Pd 2.060 0.000 7.444
Pd 0.000 2.060 3.955
```

Computed properties:
formation enthalpy at 0 K = -7.72 eV per formula unit

Material: YGaSnPd2
Method: DFT, PBE-GGA
State: optimized geometry

Geometry as extended XYZ:
```
5
Lattice="4.711 0.000 0.000 0.000 5.141 0.000 0.000 0.000 4.711" Properties=species:S:1:pos:R:3 pbc="T T T"
Y 2.355 2.570 2.355
Ga 0.000 0.000 0.000
Sn 0.000 2.570 0.000
Pd 0.000 0.000 2.355
Pd 2.355 0.000 0.000
```

Computed properties:
formation enthalpy at 0 K = -1.06 eV per formula unit

Among the records above, which one has the lowest formation enthalpy at 0 K? Y2Ga3SnPd4

formation enthalpy at 0 K of number 1 (VGaSn2Pd)? 4.58 eV per formula unit

Which formula does entry 1 have? VGaSn2Pd